# AcDy2Mg (GGA-PBE, relaxed)
# Formation energy = 36 kJ/mol of formula units
# Spin magnetization = 0.00 μB per formula unit
# DFT total energy = -14.53 eV/cell
data_AcDy2Mg
_chemical_formula_sum 'Ac1 Dy2 Mg1'
_space_group_name_H-M_alt 'P 1'
_space_group_IT_number 1
_cell_length_a 3.6788
_cell_length_b 3.6788
_cell_length_c 11.5779
_cell_angle_alpha 80.86
_cell_angle_beta 80.86
_cell_angle_gamma 60.00
loop_
_space_group_symop_operation_xyz
'x,y,z'
loop_
_atom_site_label
_atom_site_fract_x
_atom_site_fract_y
_atom_site_fract_z
_atom_site_occupancy
Dy1 0.2582 0.2582 0.2255 1
Dy2 0.0752 0.0752 0.7744 1
Mg1 0.6664 0.6664 0.0007 1
Ac1 0.5002 0.5002 0.4993 1

# Ac14DyMg (GGA-PBE, relaxed)
# Formation energy = 30 kJ/mol of formula units
# Spin magnetization = 0.00 μB per formula unit
# DFT total energy = -63.40 eV/cell
data_Ac14DyMg
_chemical_formula_sum 'Ac14 Dy1 Mg1'
_space_group_name_H-M_alt 'P 1'
_space_group_IT_number 1
_cell_length_a 7.8351
_cell_length_b 7.8351
_cell_length_c 11.1601
_cell_angle_alpha 90.00
_cell_angle_beta 90.00
_cell_angle_gamma 90.01
loop_
_space_group_symop_operation_xyz
'x,y,z'
loop_
_atom_site_label
_atom_site_fract_x
_atom_site_fract_y
_atom_site_fract_z
_atom_site_occupancy
Ac1 0.3749 0.6251 0.5000 1
Ac2 0.1248 0.8752 0.7583 1
Ac3 0.1246 0.3746 0.7566 1
Ac4 0.8724 0.6234 0.0000 1
Ac5 0.3766 0.1276 0.0000 1
Ac6 0.6255 0.3745 0.2452 1
Ac7 0.3738 0.1238 0.5000 1
Ac8 0.8762 0.6262 0.5000 1
Ac9 0.6254 0.8754 0.7566 1
Ac10 0.6255 0.3745 0.7548 1
Ac11 0.6254 0.8754 0.2434 1
Ac12 0.8755 0.1245 0.5000 1
Ac13 0.1246 0.3746 0.2434 1
Ac14 0.1248 0.8752 0.2417 1
Mg1 0.3754 0.6246 0.0000 1
Dy1 0.8747 0.1253 0.0000 1

# AcDy3Mg4 (GGA-PBE, relaxed)
# Formation energy = -48 kJ/mol of formula units
# Spin magnetization = 0.00 μB per formula unit
# DFT total energy = -49.57 eV/cell
data_AcDy3Mg4
_chemical_formula_sum 'Ac2 Dy6 Mg8'
_space_group_name_H-M_alt 'P 1'
_space_group_IT_number 1
_cell_length_a 5.4657
_cell_length_b 7.7624
_cell_length_c 10.9311
_cell_angle_alpha 90.00
_cell_angle_beta 90.00
_cell_angle_gamma 90.00
loop_
_space_group_symop_operation_xyz
'x,y,z'
loop_
_atom_site_label
_atom_site_fract_x
_atom_site_fract_y
_atom_site_fract_z
_atom_site_occupancy
Dy1 0.4992 0.5000 0.2500 1
Dy2 0.0000 0.0000 0.5000 1
Dy3 0.4991 0.0000 0.2500 1
Dy4 0.5008 0.5000 0.7500 1
Dy5 0.5009 0.0000 0.7500 1
Dy6 0.0000 0.0000 0.0000 1
Mg1 0.9990 0.2338 0.2500 1
Mg2 0.5000 0.7661 0.5000 1
Mg3 0.0010 0.7662 0.7500 1
Mg4 0.0010 0.2338 0.7500 1
Mg5 0.5000 0.2339 0.5000 1
Mg6 0.5000 0.7661 0.0000 1
Mg7 0.9990 0.7662 0.2500 1
Mg8 0.5000 0.2339 0.0000 1
Ac1 0.0000 0.5000 0.0000 1
Ac2 0.0000 0.5000 0.5000 1

# AcDy3Mg2 (GGA-PBE, relaxed)
# Formation energy = -17 kJ/mol of formula units
# Spin magnetization = 0.00 μB per formula unit
# DFT total energy = -21.28 eV/cell
data_AcDy3Mg2
_chemical_formula_sum 'Ac1 Dy3 Mg2'
_space_group_name_H-M_alt 'P 1'
_space_group_IT_number 1
_cell_length_a 3.7959
_cell_length_b 3.7959
_cell_length_c 12.8061
_cell_angle_alpha 90.00
_cell_angle_beta 90.00
_cell_angle_gamma 90.00
loop_
_space_group_symop_operation_xyz
'x,y,z'
loop_
_atom_site_label
_atom_site_fract_x
_atom_site_fract_y
_atom_site_fract_z
_atom_site_occupancy
Mg1 0.5000 0.5000 0.8541 1
Mg2 0.5000 0.5000 0.1459 1
Ac1 0.5000 0.5000 0.5000 1
Dy1 0.0000 0.0000 0.7061 1
Dy2 0.0000 0.0000 0.0000 1
Dy3 0.0000 0.0000 0.2939 1